GGA-PBE SmBe12, optimized geometry; size of the total moment = 0.00 μB/f.u.; crystal system = tetragonal; final energy = -50.11 eV per cell
1.0
-3.896 3.896 2.108
3.896 -3.896 2.108
3.896 3.896 -2.108
Sm Be
1 12
Cartesian
0.000 0.000 0.000
1.948 1.948 -1.054
2.804 0.000 0.000
1.948 -1.948 1.054
4.988 0.000 0.000
3.896 2.027 0.000
0.000 2.804 0.000
-1.948 1.948 1.054
2.027 3.896 0.000
1.948 1.948 1.054
1.869 0.000 2.108
0.000 4.988 0.000
0.000 1.869 2.108